The following is a DFT calculation (GGA-PBE) of crystalline MgMoIr2 at its relaxed geometry.

a = 4.7476 Å, b = 4.7476 Å, c = 4.9181 Å
α = 98.86°, β = 98.86°, γ = 34.02°
Sites, in units of the cell vectors:
Mg1 0.0000 0.0000 0.0000
Mo1 0.5000 0.5000 0.5000
Ir1 0.2469 0.2469 0.7441
Ir2 0.7531 0.7531 0.2559

Summary:
Electronic total energy ... -30.3 eV per cell
M_tot ... 0.0 μB/f.u.
Formation energy from the elements ... -0.05 eV per atom

=====

The following is a DFT calculation (GGA-PBE) of crystalline ErTl2SbO4 at its relaxed geometry.

a = 7.2744 Å, b = 7.2744 Å, c = 7.2744 Å
α = 121.14°, β = 118.85°, γ = 90.02°
Sites, in units of the cell vectors:
Er1 0.5000 0.0000 0.0000
Er2 0.5000 0.5000 0.5000
Tl1 0.0000 0.0000 0.0000
Tl2 0.0000 0.0000 0.5000
Tl3 0.0000 0.5000 0.0000
Tl4 0.5000 0.0000 0.5000
Sb1 0.0000 0.5000 0.5000
Sb2 0.5000 0.5000 0.0000
O1 0.2765 0.3154 0.5390
O2 0.2765 0.7375 0.9610
O3 0.2820 0.7294 0.5525
O4 0.3231 0.2706 0.0525
O5 0.6769 0.7294 0.9475
O6 0.7180 0.2706 0.4475
O7 0.7235 0.2625 0.0390
O8 0.7235 0.6846 0.4610

Summary:
E_form (uncorrected) ... -1.541 eV per atom
Electronic total energy ... -91.2 eV per cell
M_tot ... 0.0 μB/f.u.

=====

The following is a DFT calculation (GGA-PBE) of crystalline Mn3Pd7Pt2 at its relaxed geometry.

a = 2.8249 Å, b = 4.3400 Å, c = 16.4634 Å
α = 90.00°, β = 94.92°, γ = 90.00°
Sites, in units of the cell vectors:
Mn1 0.0000 0.0000 0.0000
Mn2 0.3315 0.5000 0.6626
Mn3 0.6685 0.5000 0.3374
Pd1 0.0866 0.5000 0.1731
Pd2 0.2161 0.0000 0.4324
Pd3 0.4360 0.0000 0.8719
Pd4 0.5000 0.5000 0.0000
Pd5 0.5640 0.0000 0.1281
Pd6 0.7839 0.0000 0.5676
Pd7 0.9134 0.5000 0.8269
Pt1 0.1374 0.0000 0.2754
Pt2 0.8626 0.0000 0.7246

Summary:
Electronic total energy ... -75.5 eV per cell
M_tot ... 14.2 μB/f.u.
Formation energy from the elements ... 0.03 eV per atom

=====

The following is a DFT calculation (GGA-PBE) of crystalline Zr2RhSe at its relaxed geometry.

a = 4.9419 Å, b = 4.9419 Å, c = 4.9419 Å
α = 132.35°, β = 117.66°, γ = 82.08°
Sites, in units of the cell vectors:
Zr1 0.2487 0.2487 0.0000
Zr2 0.7513 0.7513 0.0000
Rh1 0.5000 0.0000 0.5000
Se1 0.0000 0.5000 0.5000

Summary:
E_form (uncorrected) ... -0.680 eV per atom
Electronic total energy ... -30.7 eV per cell
M_tot ... 0.0 μB/f.u.

=====

The following is a DFT calculation (GGA-PBE) of crystalline NdMgCuNi at its relaxed geometry.

a = 4.7488 Å, b = 4.7488 Å, c = 4.7488 Å
α = 60.00°, β = 60.00°, γ = 60.00°
Sites, in units of the cell vectors:
Nd1 0.0000 0.0000 0.0000
Mg1 0.5000 0.5000 0.5000
Cu1 0.2500 0.2500 0.2500
Ni1 0.7500 0.7500 0.7500

Summary:
Electronic total energy ... -16.9 eV per cell
M_tot ... 0.0 μB/f.u.
Formation energy from the elements ... -0.16 eV per atom

=====

The following is a DFT calculation (GGA-PBE) of crystalline CuIN2Cl at its relaxed geometry.

a = 3.7457 Å, b = 3.7457 Å, c = 7.6579 Å
α = 90.00°, β = 90.00°, γ = 90.00°
Sites, in units of the cell vectors:
Cu1 0.0000 0.0000 0.0000
I1 0.5000 0.5000 0.0000
N1 0.0000 0.5000 0.5000
N2 0.5000 0.0000 0.5000
Cl1 0.5000 0.5000 0.5000

Summary:
Polymorph energy (0 for the lowest one) ... 0.489 eV/atom
E_form (uncorrected) ... 2.037 eV per atom
Electronic total energy ... -14.0 eV per cell
M_tot ... 0.0 μB/f.u.